Entry 1:
19
Lattice="-0.980 6.507 -4.566 4.708 1.203 -11.964 -11.823 -4.823 12.554" Properties=species:S:1:pos:R:3 comment="Tb12Pr2Y5 PBE-GGA optimized geometry" e_tot_ev_per_cell=-97.122 delta_e_f_mev_per_atom=17 dos_ef_per_ev_atom=1.3458 m_tot_mub_per_atom=0.0000 pbc="T T T"
Tb -2.798 -0.513 1.269
Tb -8.347 -1.563 3.799
Tb -8.450 1.532 -0.224
Tb -1.998 -0.877 -2.223
Tb -2.092 2.208 -6.239
Tb -9.123 -1.230 7.255
Tb 1.029 4.118 -11.232
Tb -6.096 3.765 -1.753
Tb -6.003 0.679 2.263
Tb 0.252 4.450 -7.775
Tb 0.355 1.355 -3.752
Tb -5.297 3.400 -5.245
Pr -0.529 4.786 -4.307
Pr -7.565 -1.899 0.331
Y -5.202 0.330 -1.217
Y 1.133 1.033 -7.221
Y -1.204 -1.208 -5.687
Y -9.228 1.854 3.244
Y -2.893 2.558 -2.759

---

Entry 2:
11
Lattice="-1.818 -0.876 2.956 8.205 -7.969 2.684 4.989 7.046 2.990" Properties=species:S:1:pos:R:3 comment="Tb2Pr5Y4 PBE-GGA optimized geometry" e_tot_ev_per_cell=-58.234 delta_e_f_mev_per_atom=71 dos_ef_per_ev_atom=1.4289 m_tot_mub_per_atom=0.0000 pbc="T T T"
Tb 3.772 -0.409 4.366
Tb 7.604 -1.390 4.264
Pr 6.187 1.196 6.327
Pr 5.189 -2.995 2.303
Pr 9.339 -3.560 6.855
Pr -0.909 -0.438 1.478
Pr 2.037 1.761 1.775
Y 4.606 3.118 3.757
Y 8.940 -0.186 7.610
Y 6.769 -4.917 4.872
Y 2.436 -1.613 1.020

---

Entry 3:
12
Lattice="7.568 -0.466 -3.581 -4.419 7.024 -1.205 -0.293 0.466 8.368" Properties=species:S:1:pos:R:3 comment="Tb8PrY3 PBE-GGA optimized geometry" e_tot_ev_per_cell=-53.472 delta_e_f_mev_per_atom=645 dos_ef_per_ev_atom=1.5657 m_tot_mub_per_atom=0.0010 pbc="T T T"
Tb 2.608 1.697 0.039
Tb 0.197 5.408 3.620
Tb 4.217 4.860 -2.407
Tb -1.310 2.083 5.910
Tb 0.122 2.708 1.802
Tb 5.075 0.596 -1.779
Tb 4.559 4.317 2.980
Tb -4.044 6.428 4.159
Pr 0.000 0.000 0.000
Y 0.397 5.152 -0.603
Y 2.459 1.873 4.184
Y -2.356 3.745 3.581

---

Entry 4:
12
Lattice="-1.030 1.538 4.735 -4.859 -1.366 -0.613 3.258 -13.945 5.238" Properties=species:S:1:pos:R:3 comment="TbPr2Y9 PBE-GGA optimized geometry" e_tot_ev_per_cell=-72.083 delta_e_f_mev_per_atom=24 dos_ef_per_ev_atom=1.5358 m_tot_mub_per_atom=0.0000 pbc="T T T"
Tb 0.000 0.000 0.000
Pr 1.084 -4.640 1.743
Pr 2.174 -9.305 3.495
Y -2.944 0.086 2.061
Y -1.863 -4.542 3.799
Y -0.768 -9.230 5.560
Y 0.021 -1.524 3.229
Y 1.114 -6.203 4.986
Y 2.207 -10.883 6.744
Y -1.894 -2.976 0.554
Y -0.801 -7.655 2.312
Y 0.293 -12.335 4.070

---

Entry 5:
8
Lattice="-0.637 -4.914 -1.579 4.698 0.108 -2.229 4.278 -3.399 8.851" Properties=species:S:1:pos:R:3 comment="TbPr6Y PBE-GGA optimized geometry" e_tot_ev_per_cell=-39.670 delta_e_f_mev_per_atom=13 dos_ef_per_ev_atom=1.6934 m_tot_mub_per_atom=0.0000 pbc="T T T"
Tb 2.139 -1.699 4.426
Pr 2.031 -2.403 -1.904
Pr 4.169 -4.103 2.521
Pr 0.753 -3.308 1.427
Pr 2.888 -5.004 5.845
Pr 3.420 -0.797 1.102
Pr 5.555 -2.493 5.520
Y 0.000 0.000 0.000

---

Entry 6:
11
Lattice="-1.041 0.764 -5.425 -9.620 -2.896 1.946 -8.979 4.034 2.799" Properties=species:S:1:pos:R:3 comment="Tb2PrY8 PBE-GGA optimized geometry" e_tot_ev_per_cell=-64.182 delta_e_f_mev_per_atom=143 dos_ef_per_ev_atom=1.7577 m_tot_mub_per_atom=0.0000 pbc="T T T"
Tb -6.071 0.897 -2.724
Tb -13.569 1.005 2.044
Pr 0.000 0.000 0.000
Y -6.952 2.243 0.481
Y -7.252 -0.998 0.083
Y -12.689 -0.341 -1.161
Y -10.427 0.804 1.311
Y -12.389 2.899 -0.763
Y -3.747 0.393 -0.374
Y -15.893 1.509 -0.306
Y -9.214 1.098 -1.991

---

Entry 7:
11
Lattice="-2.780 0.333 -5.459 7.237 -6.692 -0.646 -5.635 -3.225 2.673" Properties=species:S:1:pos:R:3 comment="TbPr5Y5 PBE-GGA optimized geometry" e_tot_ev_per_cell=-58.056 delta_e_f_mev_per_atom=254 dos_ef_per_ev_atom=1.7382 m_tot_mub_per_atom=0.0737 pbc="T T T"
Tb 0.000 0.000 0.000
Pr -0.450 -2.708 -3.383
Pr -3.559 -3.571 -1.852
Pr -2.817 -1.613 1.336
Pr 2.382 -6.013 -1.580
Pr -0.727 -6.876 -0.049
Y 1.980 -4.357 -4.721
Y -0.918 -5.932 -3.341
Y -1.390 0.166 -2.729
Y -0.259 -3.652 -0.091
Y -3.157 -5.227 1.289

---

Entry 8:
26
Lattice="13.351 -0.492 0.000 -7.691 3.343 0.000 0.000 0.000 22.188" Properties=species:S:1:pos:R:3 comment="Tb2Pr8Y3 PBE-GGA optimized geometry" e_tot_ev_per_cell=-131.170 delta_e_f_mev_per_atom=100 dos_ef_per_ev_atom=1.4207 m_tot_mub_per_atom=0.0000 pbc="T T T"
Tb -2.486 2.620 0.813
Tb 1.470 0.477 11.906
Tb 4.190 2.374 10.281
Tb 8.145 0.231 21.375
Pr 2.498 2.033 1.862
Pr 1.129 1.718 8.652
Pr 0.630 2.549 17.998
Pr 6.229 1.865 18.747
Pr 11.705 0.056 6.905
Pr 6.106 0.740 7.653
Pr -4.177 2.279 9.232
Pr -2.145 1.379 19.746
Pr 7.805 1.472 2.442
Pr 9.837 0.572 12.956
Pr 5.029 0.302 4.189
Pr -6.045 2.795 15.283
Pr -0.569 0.986 3.441
Pr -0.447 2.111 14.535
Pr 4.531 1.133 13.536
Pr 3.161 0.818 20.326
Y 2.266 0.251 5.896
Y 6.675 -0.246 11.094
Y -3.282 2.846 16.990
Y 8.942 0.005 5.198
Y 0.000 0.000 0.000
Y 3.393 2.600 16.292